(1)
Below is crystalline TlGaAgTe3 at its relaxed geometry, with properties calculated at the PBE-GGA level.

```
data_TlGaAgTe3
_cell_length_a 8.657
_cell_length_b 4.190
_cell_length_c 10.830
_cell_angle_alpha 90.00
_cell_angle_beta 101.91
_cell_angle_gamma 90.00
_symmetry_space_group_name_H-M 'P 1 21/m 1'
_symmetry_Int_Tables_number 11
_symmetry_space_group_name_Hall '-P 2yb'
loop_
_atom_site_label
_atom_site_type_symbol
_atom_site_fract_x
_atom_site_fract_y
_atom_site_fract_z
_atom_site_occupancy
Tl1 Tl 0.210 0.250 0.217 1
Ga1 Ga 0.091 0.250 0.622 1
Ag1 Ag 0.346 0.750 0.907 1
Te1 Te 0.109 0.250 0.866 1
Te2 Te 0.214 0.750 0.517 1
Te3 Te 0.474 0.750 0.180 1
```

Output
Formation energy from raw total energies: -0.175 eV/atom

(2)
Below is crystalline MnFe at its relaxed geometry, with properties calculated at the PBE-GGA level.

```
data_MnFe
_cell_length_a 6.735
_cell_length_b 6.735
_cell_length_c 3.960
_cell_angle_alpha 90.00
_cell_angle_beta 90.00
_cell_angle_gamma 90.00
_symmetry_space_group_name_H-M 'P 4/m c c'
_symmetry_Int_Tables_number 124
_symmetry_space_group_name_Hall '-P 4 2c'
loop_
_atom_site_label
_atom_site_type_symbol
_atom_site_fract_x
_atom_site_fract_y
_atom_site_fract_z
_atom_site_occupancy
Mn1 Mn 0.081 0.252 0.000 1
Fe1 Fe 0.252 0.419 0.500 1
```

Output
Final energy: -8.47 eV/atom

(3)
Below is crystalline CaAcLa5 at its relaxed geometry, with properties calculated at the PBE-GGA level.

```
data_CaAcLa5
_cell_length_a 9.138
_cell_length_b 10.500
_cell_length_c 12.091
_cell_angle_alpha 90.00
_cell_angle_beta 108.70
_cell_angle_gamma 90.00
_symmetry_space_group_name_H-M 'C 1 2/c 1'
_symmetry_Int_Tables_number 15
_symmetry_space_group_name_Hall '-C 2yc'
loop_
_atom_site_label
_atom_site_type_symbol
_atom_site_fract_x
_atom_site_fract_y
_atom_site_fract_z
_atom_site_occupancy
Ca1 Ca 0.250 0.250 0.000 1
Ac1 Ac 0.000 0.240 0.250 1
La1 La 0.000 0.411 0.750 1
La2 La 0.123 0.074 0.664 1
La3 La 0.170 0.403 0.534 1
```

Output
Final energy: -4.30 eV/atom

(4)
Below is crystalline FeTcC2I at its relaxed geometry, with properties calculated at the PBE-GGA level.

```
data_FeTcC2I
_cell_length_a 3.713
_cell_length_b 3.713
_cell_length_c 5.483
_cell_angle_alpha 90.00
_cell_angle_beta 90.00
_cell_angle_gamma 90.00
_symmetry_space_group_name_H-M 'P 4/m m m'
_symmetry_Int_Tables_number 123
_symmetry_space_group_name_Hall '-P 4 2'
loop_
_atom_site_label
_atom_site_type_symbol
_atom_site_fract_x
_atom_site_fract_y
_atom_site_fract_z
_atom_site_occupancy
Fe1 Fe 0.000 0.000 0.000 1
Tc1 Tc 0.000 0.000 0.500 1
C1 C 0.000 0.500 0.000 1
I1 I 0.500 0.500 0.500 1
```

Output
Distance to the lowest polymorph of the same formula: 0 meV per atom
Formation energy from raw total energies: 1.649 eV/atom

(5)
Below is crystalline TbYGa4 at its relaxed geometry, with properties calculated at the PBE-GGA level.

```
data_TbYGa4
_cell_length_a 4.224
_cell_length_b 7.309
_cell_length_c 8.216
_cell_angle_alpha 90.00
_cell_angle_beta 90.00
_cell_angle_gamma 90.00
_symmetry_space_group_name_H-M 'I m m m'
_symmetry_Int_Tables_number 71
_symmetry_space_group_name_Hall '-I 2 2'
loop_
_atom_site_label
_atom_site_type_symbol
_atom_site_fract_x
_atom_site_fract_y
_atom_site_fract_z
_atom_site_occupancy
Tb1 Tb 0.000 0.000 0.000 1
Y1 Y 0.000 0.000 0.500 1
Ga1 Ga 0.000 0.333 0.251 1
```

Output
Distance to the lowest polymorph of the same formula: 0 meV per atom

(6)
Below is crystalline NaBi3Au3 at its relaxed geometry, with properties calculated at the PBE-GGA level.

```
data_NaBi3Au3
_cell_length_a 7.922
_cell_length_b 7.922
_cell_length_c 7.922
_cell_angle_alpha 90.00
_cell_angle_beta 90.00
_cell_angle_gamma 90.00
_symmetry_space_group_name_H-M 'P m -3 n'
_symmetry_Int_Tables_number 223
_symmetry_space_group_name_Hall '-P 4n 2 3'
loop_
_atom_site_label
_atom_site_type_symbol
_atom_site_fract_x
_atom_site_fract_y
_atom_site_fract_z
_atom_site_occupancy
Na1 Na 0.000 0.000 0.000 1
Bi1 Bi 0.000 0.250 0.500 1
Au1 Au 0.000 0.500 0.250 1
```

Output
Distance to the lowest polymorph of the same formula: 205 meV per atom

(7)
Below is crystalline ScRe2PdRh at its relaxed geometry, with properties calculated at the PBE-GGA level.

```
data_ScRe2PdRh
_cell_length_a 4.656
_cell_length_b 4.656
_cell_length_c 4.797
_cell_angle_alpha 90.00
_cell_angle_beta 90.00
_cell_angle_gamma 90.00
_symmetry_space_group_name_H-M 'P 4/m m m'
_symmetry_Int_Tables_number 123
_symmetry_space_group_name_Hall '-P 4 2'
loop_
_atom_site_label
_atom_site_type_symbol
_atom_site_fract_x
_atom_site_fract_y
_atom_site_fract_z
_atom_site_occupancy
Sc1 Sc 0.000 0.000 0.000 1
Re1 Re 0.000 0.500 0.500 1
Pd1 Pd 0.500 0.500 0.000 1
Rh1 Rh 0.000 0.000 0.500 1
```

Output
Final energy: -7.42 eV/atom

(8)
Below is crystalline Cs2SnNF at its relaxed geometry, with properties calculated at the PBE-GGA level.

```
data_Cs2SnNF
_cell_length_a 7.058
_cell_length_b 7.058
_cell_length_c 4.573
_cell_angle_alpha 90.00
_cell_angle_beta 90.00
_cell_angle_gamma 90.00
_symmetry_space_group_name_H-M 'P 4/m m m'
_symmetry_Int_Tables_number 123
_symmetry_space_group_name_Hall '-P 4 2'
loop_
_atom_site_label
_atom_site_type_symbol
_atom_site_fract_x
_atom_site_fract_y
_atom_site_fract_z
_atom_site_occupancy
Cs1 Cs 0.000 0.500 0.000 1
Sn1 Sn 0.000 0.000 0.000 1
N1 N 0.500 0.500 0.500 1
F1 F 0.000 0.000 0.500 1
```

Output
Formation energy from raw total energies: 0.362 eV/atom

(9)
Below is crystalline La2PmY5Th at its relaxed geometry, with properties calculated at the PBE-GGA level.

```
data_La2PmY5Th
_cell_length_a 8.749
_cell_length_b 8.749
_cell_length_c 15.748
_cell_angle_alpha 90.00
_cell_angle_beta 90.00
_cell_angle_gamma 90.00
_symmetry_space_group_name_H-M 'I 4/m c m'
_symmetry_Int_Tables_number 140
_symmetry_space_group_name_Hall '-I 4 2c'
loop_
_atom_site_label
_atom_site_type_symbol
_atom_site_fract_x
_atom_site_fract_y
_atom_site_fract_z
_atom_site_occupancy
La1 La 0.117 0.383 0.000 1
Pm1 Pm 0.000 0.500 0.250 1
Y1 Y 0.000 0.000 0.000 1
Y2 Y 0.215 0.285 0.359 1
Th1 Th 0.000 0.000 0.250 1
```

Output
Final energy: -5.77 eV/atom

(10)
Below is crystalline NiSbAs at its relaxed geometry, with properties calculated at the PBE-GGA level.

```
data_NiSbAs
_cell_length_a 3.030
_cell_length_b 3.030
_cell_length_c 12.723
_cell_angle_alpha 90.00
_cell_angle_beta 90.00
_cell_angle_gamma 90.00
_symmetry_space_group_name_H-M 'I 4 m m'
_symmetry_Int_Tables_number 107
_symmetry_space_group_name_Hall 'I 4 -2'
loop_
_atom_site_label
_atom_site_type_symbol
_atom_site_fract_x
_atom_site_fract_y
_atom_site_fract_z
_atom_site_occupancy
Ni1 Ni 0.000 0.000 0.000 1
Sb1 Sb 0.000 0.000 0.349 1
As1 As 0.000 0.000 0.604 1
```

Output
Formation energy from raw total energies: 0.008 eV/atom

(11)
Below is crystalline PaCoN at its relaxed geometry, with properties calculated at the PBE-GGA level.

```
data_PaCoN
_cell_length_a 5.091
_cell_length_b 5.100
_cell_length_c 6.709
_cell_angle_alpha 90.00
_cell_angle_beta 90.31
_cell_angle_gamma 90.00
_symmetry_space_group_name_H-M 'C 1 c 1'
_symmetry_Int_Tables_number 9
_symmetry_space_group_name_Hall 'C -2yc'
loop_
_atom_site_label
_atom_site_type_symbol
_atom_site_fract_x
_atom_site_fract_y
_atom_site_fract_z
_atom_site_occupancy
Pa1 Pa 0.000 0.005 0.000 1
Co1 Co 0.466 0.024 0.772 1
N1 N 0.262 0.272 0.235 1
```

Output
Distance to the lowest polymorph of the same formula: 0 meV per atom
Formation energy from raw total energies: -0.821 eV/atom

(12)
Below is crystalline YTlIn2 at its relaxed geometry, with properties calculated at the PBE-GGA level.

```
data_YTlIn2
_cell_length_a 4.014
_cell_length_b 4.014
_cell_length_c 6.755
_cell_angle_alpha 90.00
_cell_angle_beta 90.00
_cell_angle_gamma 90.00
_symmetry_space_group_name_H-M 'P 4/m m m'
_symmetry_Int_Tables_number 123
_symmetry_space_group_name_Hall '-P 4 2'
loop_
_atom_site_label
_atom_site_type_symbol
_atom_site_fract_x
_atom_site_fract_y
_atom_site_fract_z
_atom_site_occupancy
Y1 Y 0.000 0.000 0.000 1
Tl1 Tl 0.000 0.000 0.500 1
In1 In 0.500 0.500 0.254 1
```

Output
Final energy: -3.78 eV/atom